No. 1
DFT (PBE) results for crystalline Pr12Sm7Dy at its relaxed geometry.

a b c (Å): 8.9705 8.9705 8.9705
angles (deg): 93.77 93.77 93.77
Last column: nearest neighbours and their distance in Å.
Fractional coordinates of all 20 atoms:
Pr  0.8210  0.2494  0.6851  3 Sm 3.41-3.76, 4 Pr 3.47-3.82
Pr  0.7506  0.3149  0.1790  3 Sm 3.41-3.76, 4 Pr 3.47-3.82
Pr  0.4802  0.1476  0.4118  2 Sm 3.17-3.20, 2 Pr 3.20-3.47
Pr  0.8524  0.5882  0.5198  2 Sm 3.17-3.20, 2 Pr 3.20-3.47
Pr  0.3149  0.1790  0.7506  3 Sm 3.41-3.76, 4 Pr 3.47-3.82
Pr  0.5882  0.5198  0.8524  2 Sm 3.17-3.20, 2 Pr 3.20-3.47
Pr  0.4118  0.4802  0.1476  2 Sm 3.17-3.20, 2 Pr 3.20-3.47
Pr  0.6851  0.8210  0.2494  3 Sm 3.41-3.76, 4 Pr 3.47-3.82
Pr  0.1476  0.4118  0.4802  2 Sm 3.17-3.20, 2 Pr 3.20-3.47
Pr  0.5198  0.8524  0.5882  2 Sm 3.17-3.20, 2 Pr 3.20-3.47
Pr  0.2494  0.6851  0.8210  3 Sm 3.41-3.76, 4 Pr 3.47-3.82
Pr  0.1790  0.7506  0.3149  3 Sm 3.41-3.76, 4 Pr 3.47-3.82
Sm  0.9129  0.6496  0.9762  2 Pr 3.17-3.41, 1 Dy 3.18, 1 Sm 3.23
Sm  0.3504  0.0238  0.0871  2 Pr 3.17-3.41, 1 Dy 3.18, 1 Sm 3.23
Sm  0.0238  0.0871  0.3504  2 Pr 3.17-3.41, 1 Dy 3.18, 1 Sm 3.23
Sm  0.5000  0.5000  0.5000  6 Pr 3.20
Sm  0.9762  0.9129  0.6496  2 Pr 3.17-3.41, 1 Dy 3.18, 1 Sm 3.23
Sm  0.6496  0.9762  0.9129  2 Pr 3.17-3.41, 1 Dy 3.18, 1 Sm 3.23
Sm  0.0871  0.3504  0.0238  2 Pr 3.17-3.41, 1 Dy 3.18, 1 Sm 3.23
Dy  0.0000  0.0000  0.0000  6 Sm 3.18

Calculated values
Excess energy over the best structure of this formula in the dataset   0.662 eV/f.u.
Energy of formation   0.246 eV per atom

No. 2
DFT (PBE) results for crystalline CeDyHo2Se6 at its relaxed geometry.

a b c (Å): 7.2724 7.2723 7.7343
angles (deg): 61.96 61.96 60.00
Last column: nearest neighbours and their distance in Å.
Fractional coordinates of all 10 atoms:
Ce  0.8132  0.8132  0.5605  6 Se 2.94-3.02
Dy  0.3177  0.3177  0.0470  6 Se 2.86-2.91
Ho  0.5150  0.5150  0.4549  6 Se 2.84-2.89
Ho  0.0120  0.0120  0.9639  6 Se 2.82-2.90
Se  0.6127  0.2273  0.2473  2 Ho 2.84-2.90, 1 Dy 2.86, 1 Ce 3.02
Se  0.2273  0.9127  0.2473  2 Ho 2.84-2.90, 1 Dy 2.86, 1 Ce 3.02
Se  0.9127  0.6126  0.2473  2 Ho 2.84-2.90, 1 Dy 2.86, 1 Ce 3.02
Se  0.3956  0.7254  0.7490  2 Ho 2.82-2.89, 1 Dy 2.91, 1 Ce 2.94
Se  0.7254  0.1300  0.7490  2 Ho 2.82-2.89, 1 Dy 2.91, 1 Ce 2.94
Se  0.1300  0.3956  0.7490  2 Ho 2.82-2.89, 1 Dy 2.91, 1 Ce 2.94

Calculated values
E_form (uncorrected)   -1820 meV per atom

No. 3
DFT (PBE) results for crystalline Cd2OsPbC at its relaxed geometry.

a b c (Å): 5.6287 4.2358 5.6287
angles (deg): 90.00 90.00 90.00
Last column: nearest neighbours and their distance in Å.
Fractional coordinates of all 5 atoms:
Pb  0.0000  0.0000  0.0000  2 C 2.12
C  0.0000  0.5000  0.0000  2 Pb 2.12
Os  0.5000  0.5000  0.5000  8 Cd 3.52
Cd  0.0000  0.0000  0.5000  2 Pb 2.81
Cd  0.5000  0.0000  0.0000  2 Pb 2.81

Calculated values
Energy of formation   2.497 eV per atom

No. 4
DFT (PBE) results for crystalline Tl2CoSiOs at its relaxed geometry.

a b c (Å): 5.2039 4.4475 5.2039
angles (deg): 90.00 90.00 90.00
Last column: nearest neighbours and their distance in Å.
Fractional coordinates of all 5 atoms:
Co  0.5000  0.5000  0.5000  8 Tl 3.42, 4 Os 3.68
Tl  0.0000  0.0000  0.5000  2 Si 2.60
Tl  0.5000  0.0000  0.0000  2 Si 2.60
Os  0.0000  0.5000  0.0000  2 Si 2.22
Si  0.0000  0.0000  0.0000  2 Os 2.22

Calculated values
E_form (uncorrected)   1430 meV per atom

No. 5
DFT (PBE) results for crystalline La4PrHo2Tm at its relaxed geometry.

a b c (Å): 6.2614 9.6792 6.2573
angles (deg): 49.81 72.11 78.57
Last column: nearest neighbours and their distance in Å.
Fractional coordinates of all 8 atoms:
La  0.9996  0.7520  0.7480  4 Ho 3.63, 2 Tm 3.64-3.65, 2 Pr 3.64, 4 La 3.67-3.73
La  0.9995  0.2482  0.2520  4 Ho 3.62-3.63, 2 Tm 3.64, 2 Pr 3.64, 4 La 3.67-3.73
La  0.5005  0.7516  0.2484  4 Ho 3.62-3.63, 2 Pr 3.64, 2 Tm 3.64, 4 La 3.67-3.72
La  0.5004  0.2482  0.7517  4 Ho 3.63, 2 Pr 3.64, 2 Tm 3.64, 4 La 3.67-3.72
Pr  0.4996  0.5000  0.0000  8 La 3.64, 2 Tm 3.68-3.69, 2 Ho 3.70
Ho  0.0003  0.0000  0.0000  8 La 3.62-3.63, 2 Ho 3.68-3.69, 2 Tm 3.70
Ho  0.4997  0.0001  0.5000  8 La 3.62-3.63, 2 Ho 3.68-3.69, 2 Pr 3.70
Tm  0.0004  0.4999  0.5000  8 La 3.64-3.65, 2 Pr 3.68-3.69, 2 Ho 3.70

Calculated values
Energy of formation   0.020 eV per atom

No. 6
DFT (PBE) results for crystalline ZrGePbO5 at its relaxed geometry.

a b c (Å): 5.9538 5.9538 7.7129
angles (deg): 104.31 104.31 106.18
Last column: nearest neighbours and their distance in Å.
Fractional coordinates of all 16 atoms:
Zr  0.0000  0.0000  0.5000  6 O 2.05-2.19
Zr  0.0000  0.0000  0.0000  6 O 2.05-2.19
Ge  0.6813  0.3187  0.2500  4 O 1.77-1.80
Ge  0.3187  0.6813  0.7500  4 O 1.77-1.80
Pb  0.3215  0.6785  0.2500  1 O 2.35
Pb  0.6785  0.3215  0.7500  1 O 2.35
O  0.0745  0.9255  0.2500  2 Zr 2.05
O  0.9255  0.0745  0.7500  2 Zr 2.05
O  0.8880  0.3083  0.1158  1 Ge 1.80
O  0.1120  0.6917  0.8842  1 Ge 1.80
O  0.6917  0.1120  0.3842  1 Ge 1.80
O  0.3083  0.8880  0.6158  1 Ge 1.80
O  0.7602  0.6215  0.4103  1 Ge 1.77
O  0.2398  0.3785  0.5897  1 Ge 1.77
O  0.3785  0.2398  0.0897  1 Ge 1.77
O  0.6215  0.7602  0.9103  1 Ge 1.77

Calculated values
E_form (uncorrected)   -2185 meV per atom

Please write out number 1 again, unchanged.
DFT (PBE) results for crystalline Pr12Sm7Dy at its relaxed geometry.

a b c (Å): 8.9705 8.9705 8.9705
angles (deg): 93.77 93.77 93.77
Last column: nearest neighbours and their distance in Å.
Fractional coordinates of all 20 atoms:
Pr  0.8210  0.2494  0.6851  3 Sm 3.41-3.76, 4 Pr 3.47-3.82
Pr  0.7506  0.3149  0.1790  3 Sm 3.41-3.76, 4 Pr 3.47-3.82
Pr  0.4802  0.1476  0.4118  2 Sm 3.17-3.20, 2 Pr 3.20-3.47
Pr  0.8524  0.5882  0.5198  2 Sm 3.17-3.20, 2 Pr 3.20-3.47
Pr  0.3149  0.1790  0.7506  3 Sm 3.41-3.76, 4 Pr 3.47-3.82
Pr  0.5882  0.5198  0.8524  2 Sm 3.17-3.20, 2 Pr 3.20-3.47
Pr  0.4118  0.4802  0.1476  2 Sm 3.17-3.20, 2 Pr 3.20-3.47
Pr  0.6851  0.8210  0.2494  3 Sm 3.41-3.76, 4 Pr 3.47-3.82
Pr  0.1476  0.4118  0.4802  2 Sm 3.17-3.20, 2 Pr 3.20-3.47
Pr  0.5198  0.8524  0.5882  2 Sm 3.17-3.20, 2 Pr 3.20-3.47
Pr  0.2494  0.6851  0.8210  3 Sm 3.41-3.76, 4 Pr 3.47-3.82
Pr  0.1790  0.7506  0.3149  3 Sm 3.41-3.76, 4 Pr 3.47-3.82
Sm  0.9129  0.6496  0.9762  2 Pr 3.17-3.41, 1 Dy 3.18, 1 Sm 3.23
Sm  0.3504  0.0238  0.0871  2 Pr 3.17-3.41, 1 Dy 3.18, 1 Sm 3.23
Sm  0.0238  0.0871  0.3504  2 Pr 3.17-3.41, 1 Dy 3.18, 1 Sm 3.23
Sm  0.5000  0.5000  0.5000  6 Pr 3.20
Sm  0.9762  0.9129  0.6496  2 Pr 3.17-3.41, 1 Dy 3.18, 1 Sm 3.23
Sm  0.6496  0.9762  0.9129  2 Pr 3.17-3.41, 1 Dy 3.18, 1 Sm 3.23
Sm  0.0871  0.3504  0.0238  2 Pr 3.17-3.41, 1 Dy 3.18, 1 Sm 3.23
Dy  0.0000  0.0000  0.0000  6 Sm 3.18

Calculated values
Excess energy over the best structure of this formula in the dataset   0.662 eV/f.u.
Energy of formation   0.246 eV per atom